# TbB3Ru3

Crystalline TbB3Ru3 at its relaxed geometry (PBE-GGA, Alexandria via LeMat-Bulk).

As for the total energy: -7.706 eV/atom. The calculated formation energy is -0.21 eV/atom. The energy above the lowest structure with this stoichiometry is 0 meV/atom. The calculated volume is 14.04 Å³ per atom.

Unit cell a=5.814 b=5.814 c=5.814 alpha=90.00 beta=90.00 gamma=90.00
Element x y z (fractional)
1 Ru 0.000 0.250 0.500
2 Ru 0.000 0.750 0.500
3 Ru 0.500 0.000 0.750
4 Ru 0.750 0.500 0.000
5 Ru 0.500 0.000 0.250
6 Ru 0.250 0.500 0.000
7 B 0.250 0.000 0.500
8 B 0.000 0.500 0.250
9 B 0.500 0.750 0.000
10 B 0.750 0.000 0.500
11 B 0.000 0.500 0.750
12 B 0.500 0.250 0.000
13 Tb 0.500 0.500 0.500
14 Tb 0.000 0.000 0.000